# NiTe | the Alexandria database | PBE | relaxed
# D(E_F), states/eV per cell: 2.68
# E_form (uncorrected), meV/atom: 83
# Crystal system: hexagonal
# Total DFT energy (no corrections), eV/atom: -4.378
data_NiTe
_chemical_formula_sum 'Ni2 Te2'
_symmetry_space_group_name_H-M 'P 1'
_symmetry_Int_Tables_number 1
_symmetry_space_group_name_Hall 'P 1'
_cell_length_a 3.510
_cell_length_b 3.510
_cell_length_c 7.061
_cell_angle_alpha 90.00
_cell_angle_beta 90.00
_cell_angle_gamma 120.00
loop_
_atom_site_label
_atom_site_type_symbol
_atom_site_fract_x
_atom_site_fract_y
_atom_site_fract_z
_atom_site_occupancy
Ni1 Ni 0.333 0.667 0.250 1
Ni2 Ni 0.667 0.333 0.750 1
Te1 Te 0.000 0.000 0.000 1
Te2 Te 0.000 0.000 0.500 1

# Ni3Te2 | the Alexandria database | PBE | relaxed
# D(E_F), states/eV per cell: 4.83
# E_form (uncorrected), meV/atom: -137
# Crystal system: trigonal
# Total DFT energy (no corrections), eV/atom: -4.863
data_Ni3Te2
_chemical_formula_sum 'Ni3 Te2'
_symmetry_space_group_name_H-M 'P 1'
_symmetry_Int_Tables_number 1
_symmetry_space_group_name_Hall 'P 1'
_cell_length_a 4.069
_cell_length_b 4.069
_cell_length_c 6.713
_cell_angle_alpha 90.00
_cell_angle_beta 90.00
_cell_angle_gamma 120.00
loop_
_atom_site_label
_atom_site_type_symbol
_atom_site_fract_x
_atom_site_fract_y
_atom_site_fract_z
_atom_site_occupancy
Ni1 Ni 0.000 0.000 0.000 1
Ni2 Ni 0.333 0.667 0.127 1
Ni3 Ni 0.667 0.333 0.873 1
Te1 Te 0.333 0.667 0.738 1
Te2 Te 0.667 0.333 0.262 1